(one)
Material: BiMo
Method: DFT, PBE-GGA
State: relaxed

Cell lengths 3.4614, 3.4614, 4.0616 Å; angles 90.00, 90.00, 120.00 degrees
With the nearest neighbours (Å) after each atom.
Fractional coordinates of all 2 atoms:
Bi: 0.6667 0.3333 0.7500  6 Mo 2.85
Mo: 0.3333 0.6667 0.2500  6 Bi 2.85

Symmetry = P-6m2
Calculated volume = 21.072 Å³ per atom
Total magnetic moment = 0.02 μB/f.u.

***

(two)
Material: BiMo
Method: DFT, PBE-GGA
State: relaxed

Cell lengths 4.1246, 4.1246, 4.1246 Å; angles 60.00, 60.00, 60.00 degrees
With the nearest neighbours (Å) after each atom.
Fractional coordinates of all 2 atoms:
Bi: 0.0000 0.0000 0.0000  6 Mo 2.92
Mo: 0.5000 0.5000 0.5000  6 Bi 2.92

Symmetry = Fm-3m
Calculated volume = 24.809 Å³ per atom
Total magnetic moment = 2.65 μB/f.u.

***

Stability verdict: (one), ahead by 346 meV/atom

***

(one)
Material: BiMo
Method: DFT, PBE-GGA
State: relaxed

Cell lengths 4.5262, 4.5262, 5.2162 Å; angles 90.00, 90.00, 120.00 degrees
With the nearest neighbours (Å) after each atom.
Fractional coordinates of all 4 atoms:
Bi: 0.6667 0.3333 0.2500  6 Mo 2.92
Bi: 0.3333 0.6667 0.7500  6 Mo 2.92
Mo: 0.0000 0.0000 0.0000  2 Mo 2.61, 6 Bi 2.92
Mo: 0.0000 0.0000 0.5000  2 Mo 2.61, 6 Bi 2.92

Symmetry = P6_3/mmc
Calculated volume = 23.136 Å³ per atom
Total magnetic moment = 0.01 μB/f.u.

***

(two)
Material: BiMo
Method: DFT, PBE-GGA
State: relaxed

Cell lengths 5.5652, 3.7952, 4.4335 Å; angles 90.00, 90.00, 109.94 degrees
With the nearest neighbours (Å) after each atom.
Fractional coordinates of all 4 atoms:
Bi: 0.6997 0.8498 0.2500  7 Mo 2.94-3.05
Bi: 0.3003 0.1502 0.7500  7 Mo 2.94-3.05
Mo: 0.1288 0.5644 0.2500  2 Mo 2.59
Mo: 0.8712 0.4356 0.7500  2 Mo 2.59

Symmetry = Cmcm
Calculated volume = 22.007 Å³ per atom
Total magnetic moment = 0.00 μB/f.u.

***

(three)
Material: BiMo
Method: DFT, PBE-GGA
State: relaxed

Cell lengths 5.4261, 4.3876, 7.8835 Å; angles 90.00, 90.00, 90.00 degrees
With the nearest neighbours (Å) after each atom.
Fractional coordinates of all 8 atoms:
Bi: 0.7500 0.5000 0.1257  4 Mo 2.96-3.25
Bi: 0.2500 0.0000 0.2510  3 Mo 2.89-2.93
Bi: 0.7500 0.0000 0.7490  3 Mo 2.89-2.93
Bi: 0.2500 0.5000 0.8743  4 Mo 2.96-3.25
Mo: 0.7500 0.0000 0.3780  4 Mo 2.75, 5 Bi 2.89-2.96
Mo: 0.0000 0.5000 0.5000  6 Mo 2.71-2.75
Mo: 0.5000 0.5000 0.5000  6 Mo 2.71-2.75
Mo: 0.2500 0.0000 0.6220  4 Mo 2.75, 5 Bi 2.89-2.96

Symmetry = Pmma
Calculated volume = 23.461 Å³ per atom
Total magnetic moment = 0.00 μB/f.u.

***

(four)
Material: BiMo
Method: DFT, PBE-GGA
State: relaxed

Cell lengths 4.5190, 4.5190, 4.5190 Å; angles 60.00, 60.00, 60.00 degrees
With the nearest neighbours (Å) after each atom.
Fractional coordinates of all 2 atoms:
Bi: 0.0000 0.0000 0.0000  4 Mo 2.77
Mo: 0.2500 0.2500 0.2500  4 Bi 2.77

Symmetry = F-43m
Calculated volume = 32.627 Å³ per atom
Total magnetic moment = 2.40 μB/f.u.

***

Stability verdict: (three), ahead by 173 meV/atom

***

(one)
Material: PrBiMo
Method: DFT, PBE-GGA
State: relaxed

Cell lengths 5.0261, 5.0261, 5.0261 Å; angles 60.00, 60.00, 60.00 degrees
With the nearest neighbours (Å) after each atom.
Fractional coordinates of all 3 atoms:
Bi: 0.0000 0.0000 0.0000  4 Pr 3.08, 4 Mo 3.08
Mo: 0.2500 0.2500 0.2500  4 Bi 3.08
Pr: 0.7500 0.7500 0.7500  4 Bi 3.08

Symmetry = F-43m
Calculated volume = 29.926 Å³ per atom
Total magnetic moment = 2.99 μB/f.u.

***

(two)
Material: PrBiMo
Method: DFT, PBE-GGA
State: relaxed

Cell lengths 5.2033, 5.2033, 5.2033 Å; angles 60.00, 60.00, 60.00 degrees
With the nearest neighbours (Å) after each atom.
Fractional coordinates of all 3 atoms:
Bi: 0.2500 0.2500 0.2500  4 Pr 3.19
Mo: 0.7500 0.7500 0.7500  4 Pr 3.19
Pr: 0.0000 0.0000 0.0000  4 Mo 3.19, 4 Bi 3.19

Symmetry = F-43m
Calculated volume = 33.204 Å³ per atom
Total magnetic moment = 4.13 μB/f.u.

***

Stability verdict: (one), ahead by 426 meV/atom